# 1
DFT (GGA-PBE) results for an optimized crystal structure of CeErAlOs.

extended XYZ file:
```
4
Lattice="-2.604 0.498 -4.191 0.780 -3.104 -3.788 -3.440 -3.365 -1.197" Properties=species:S:1:pos:R:3 pbc="T T T"
Os -1.316 -1.493 -2.294
Al -3.947 -4.479 -6.881
Ce -2.632 -2.986 -4.588
Er 0.000 0.000 0.000
```

Values from the calculation:
Energy of formation in kcal/mol of atoms: -5.11
Space-group type: F-43m (216)
E in eV per atom: -6.589
Crystal system: cubic


# 2
DFT (GGA-PBE) results for an optimized crystal structure of Na2Ac2Ir.

extended XYZ file:
```
5
Lattice="-2.692 1.845 2.870 -0.336 -1.627 4.017 9.285 7.575 3.860" Properties=species:S:1:pos:R:3 pbc="T T T"
Na 4.629 4.666 4.619
Na 1.627 3.127 6.128
Ac 0.159 1.026 2.781
Ac 6.096 6.767 7.966
Ir 0.000 0.000 0.000
```

Values from the calculation:
Energy of formation in kcal/mol of atoms: -7.38
Space-group type: C2/m (12)
E in eV per atom: -4.263
Crystal system: monoclinic


# 3
DFT (GGA-PBE) results for an optimized crystal structure of PmSm6Mg.

extended XYZ file:
```
8
Lattice="4.900 0.000 1.338 2.249 5.609 1.407 0.047 -0.071 9.473" Properties=species:S:1:pos:R:3 pbc="T T T"
Pm 1.148 2.769 5.440
Sm 3.211 4.844 7.528
Sm 3.048 1.308 8.125
Sm 2.078 2.180 2.032
Sm 4.148 4.230 4.093
Sm 3.986 0.693 4.689
Sm 5.118 3.358 10.186
Mg 0.000 0.000 0.000
```

Values from the calculation:
Energy of formation in kcal/mol of atoms: 0.40
Space-group type: C2/m (12)
E in eV per atom: -4.315
Crystal system: monoclinic
Excess energy over the best structure of this formula in the dataset in meV/atom: 2


# 4
DFT (GGA-PBE) results for an optimized crystal structure of Zr2ZnFePd.

extended XYZ file:
```
5
Lattice="4.674 0.000 0.000 0.000 4.534 0.000 0.000 0.000 4.674" Properties=species:S:1:pos:R:3 pbc="T T T"
Zn 0.000 2.267 0.000
Zr 0.000 0.000 2.337
Zr 2.337 0.000 0.000
Pd 2.337 2.267 2.337
Fe 0.000 0.000 0.000
```

Values from the calculation:
Energy of formation in kcal/mol of atoms: 3.10
Space-group type: P4/mmm (123)
E in eV per atom: -6.271
Crystal system: tetragonal